Computed, not measured: an optimized crystal structure of K2TaCo at the GGA-PBE level of DFT.

## Properties
Calculated formation energy ... 0.628 eV per atom
V ... 117.7 Å³/cell
Calculated total energy ... -4.66 eV per atom

a = 3.282 Å, b = 3.282 Å, c = 10.934 Å
α = 90.00°, β = 90.00°, γ = 90.00°
Space group P4mm (No. 99)
Unique sites:
K  0.000  0.000  0.000
K  0.500  0.500  0.401
Ta  0.000  0.000  0.681
Co  0.500  0.500  0.764

***

Computed, not measured: an optimized crystal structure of K2TaCo at the GGA-PBE level of DFT.

## Properties
Calculated formation energy ... 1.314 eV per atom
V ... 184.8 Å³/cell
Calculated total energy ... -3.97 eV per atom

a = 3.218 Å, b = 4.768 Å, c = 12.048 Å
α = 90.00°, β = 90.00°, γ = 90.00°
Space group Cmmm (No. 65)
Unique sites:
K  0.000  0.000  0.227
Ta  0.000  0.500  0.500
Co  0.000  0.500  0.000

***

Computed, not measured: an optimized crystal structure of KTaCo4 at the GGA-PBE level of DFT.

## Properties
Calculated formation energy ... 0.677 eV per atom
V ... 342.0 Å³/cell
Calculated total energy ... -6.22 eV per atom

a = 6.993 Å, b = 6.993 Å, c = 6.993 Å
α = 90.00°, β = 90.00°, γ = 90.00°
Space group F-43m (No. 216)
Unique sites:
K  0.000  0.000  0.000
Ta  0.250  0.250  0.750
Co  0.123  0.123  0.377

***

Computed, not measured: an optimized crystal structure of K2TaCo at the GGA-PBE level of DFT.

## Properties
Calculated formation energy ... 1.679 eV per atom
V ... 393.8 Å³/cell
Calculated total energy ... -3.61 eV per atom

a = 7.330 Å, b = 7.330 Å, c = 7.330 Å
α = 90.00°, β = 90.00°, γ = 90.00°
Space group F-43m (No. 216)
Unique sites:
K  0.000  0.000  0.000
K  0.250  0.250  0.250
Ta  0.000  0.000  0.500
Co  0.250  0.250  0.750

***

Question: calculated formation energy of number 1 (K2TaCo)?
Answer: 0.628 eV per atom